# 1
The following is a PBE-GGA calculation of crystalline MgTlBr4 at its relaxed geometry, from Alexandria via LeMat-Bulk.

abc: 4.0311 6.9998 7.3164
angles: 92.59 90.00 90.00
Atoms (fractional coordinates):
Br1 0.0000 0.7646 0.6992
Br2 0.0000 0.2354 0.3008
Br3 0.5000 0.7811 0.1337
Br4 0.5000 0.2189 0.8663
Tl1 0.5000 0.0000 0.5000
Mg1 0.0000 0.0000 0.0000

Values from the calculation:
Uncorrected formation energy in eV per formula unit: -5.8
Offset from the most stable computed form in kJ per mole of atoms: 0.0

# 2
The following is a PBE-GGA calculation of crystalline LiGaC at its relaxed geometry, from Alexandria via LeMat-Bulk.

abc: 8.5715 3.4269 5.5026
angles: 90.00 90.00 90.00
Atoms (fractional coordinates):
Li1 0.9311 0.7500 0.6380
Li2 0.0689 0.2500 0.3620
Li3 0.5689 0.2500 0.1380
Li4 0.4311 0.7500 0.8620
C1 0.8142 0.2500 0.3936
C2 0.6858 0.7500 0.8936
C3 0.3142 0.2500 0.1064
C4 0.1858 0.7500 0.6064
Ga1 0.2889 0.7500 0.2846
Ga2 0.2111 0.2500 0.7846
Ga3 0.7111 0.2500 0.7154
Ga4 0.7889 0.7500 0.2154

Values from the calculation:
Energy of formation in meV/atom: 220

# 3
The following is a PBE-GGA calculation of crystalline LuMnGe2 at its relaxed geometry, from Alexandria via LeMat-Bulk.

abc: 9.5558 9.5558 8.1890
angles: 90.00 90.00 147.25
Atoms (fractional coordinates):
Lu1 0.0936 0.9064 0.2521
Lu2 0.6407 0.3593 0.5000
Lu3 0.9064 0.0936 0.2521
Lu4 0.3593 0.6407 0.5000
Lu5 0.9064 0.0936 0.7479
Lu6 0.0936 0.9064 0.7479
Ge1 0.2458 0.2458 0.0000
Ge2 0.2112 0.7888 0.0000
Ge3 0.3618 0.6382 0.1553
Ge4 0.2464 0.2464 0.5000
Ge5 0.2027 0.7973 0.5000
Ge6 0.3618 0.6382 0.8446
Ge7 0.7973 0.2027 0.5000
Ge8 0.6382 0.3618 0.8446
Ge9 0.7888 0.2112 0.0000
Ge10 0.7542 0.7542 0.0000
Ge11 0.7536 0.7536 0.5000
Ge12 0.6382 0.3618 0.1553
Mn1 0.5000 0.5000 0.7514
Mn2 0.5000 0.0000 0.7478
Mn3 0.5000 0.0000 0.2522
Mn4 0.5000 0.5000 0.2486
Mn5 0.0000 0.5000 0.7478
Mn6 0.0000 0.5000 0.2522

Values from the calculation:
Energy of formation in meV/atom: -508

# 4
The following is a PBE-GGA calculation of crystalline Cs2TmHgF6 at its relaxed geometry, from Alexandria via LeMat-Bulk.

abc: 6.7594 6.7695 9.5653
angles: 90.00 90.00 90.00
Atoms (fractional coordinates):
Hg1 0.5000 0.2509 0.0000
Hg2 0.0000 0.7491 0.5000
F1 0.0000 0.7520 0.2243
F2 0.7754 0.5273 0.0000
F3 0.0000 0.7520 0.7757
F4 0.2755 0.0247 0.5000
F5 0.5000 0.2480 0.2757
F6 0.7246 0.4727 0.5000
F7 0.2246 0.5273 0.0000
F8 0.2245 0.9753 0.0000
F9 0.7755 0.9753 0.0000
F10 0.7245 0.0247 0.5000
F11 0.5000 0.2480 0.7243
F12 0.2754 0.4727 0.5000
Cs1 0.5000 0.7502 0.2500
Cs2 0.5000 0.7502 0.7500
Cs3 0.0000 0.2498 0.7500
Cs4 0.0000 0.2498 0.2500
Tm1 0.0000 0.7512 0.0000
Tm2 0.5000 0.2488 0.5000

Values from the calculation:
Uncorrected formation energy in eV per formula unit: -29.4

Number 1: N(E_F) 3.48 states/eV/cell, M_tot 0.00 μB per atom. Number 2: N(E_F) 0.00 states/eV/cell, M_tot 0.00 μB per atom. Number 3: N(E_F) 12.22 states/eV/cell, M_tot 0.30 μB per atom. Number 4: N(E_F) 3.57 states/eV/cell, M_tot 0.10 μB per atom.